Record 1
A relaxed RhWI2N crystal. Source: the Alexandria database, functional PBE.

## Properties
**Energy relative to the elements, uncorrected**: 0.878 eV/atom
**SG**: P4/mmm

Lattice parameters (Å, degrees): 5.5113 5.5113 3.7920 90.00 90.00 90.00
With the nearest neighbours (Å) after each atom.
Sites, in units of the cell vectors:
I1 0.0000 0.5000 0.0000  2 W 2.76
I2 0.5000 0.0000 0.0000  2 W 2.76
Rh1 0.5000 0.5000 0.5000  8 I 3.34
W1 0.0000 0.0000 0.0000  2 N 1.90
N1 0.0000 0.0000 0.5000  2 W 1.90

=====

Record 2
A relaxed RhWI2N crystal. Source: the Alexandria database, functional PBE.

## Properties
**Energy relative to the elements, uncorrected**: 1.338 eV/atom
**SG**: P4/mmm

Lattice parameters (Å, degrees): 5.5738 5.5738 3.6486 90.00 90.00 90.00
With the nearest neighbours (Å) after each atom.
Sites, in units of the cell vectors:
I1 0.0000 0.5000 0.0000  2 Rh 2.79
I2 0.5000 0.0000 0.0000  2 Rh 2.79
Rh1 0.0000 0.0000 0.0000  2 N 1.82
W1 0.5000 0.5000 0.5000  8 I 3.33, 2 W 3.65
N1 0.0000 0.0000 0.5000  2 Rh 1.82

=====

Record 3
A relaxed YRhI2N crystal. Source: the Alexandria database, functional PBE.

## Properties
**Energy relative to the elements, uncorrected**: 0.479 eV/atom
**SG**: P4/mmm

Lattice parameters (Å, degrees): 6.0921 6.0921 4.0975 90.00 90.00 90.00
With the nearest neighbours (Å) after each atom.
Sites, in units of the cell vectors:
I1 0.0000 0.5000 0.0000  2 Y 3.05
I2 0.5000 0.0000 0.0000  2 Y 3.05
Y1 0.0000 0.0000 0.0000  2 N 2.05
Rh1 0.5000 0.5000 0.5000  8 I 3.67, 2 Rh 4.10
N1 0.0000 0.0000 0.5000  2 Y 2.05

=====

Record 4
A relaxed YRhIN2 crystal. Source: the Alexandria database, functional PBE.

## Properties
**Energy relative to the elements, uncorrected**: 1.100 eV/atom
**SG**: P4/mmm

Lattice parameters (Å, degrees): 4.3872 4.3872 6.2851 90.00 90.00 90.00
With the nearest neighbours (Å) after each atom.
Sites, in units of the cell vectors:
I1 0.0000 0.0000 0.5000  4 Rh 3.10, 2 Y 3.14
Y1 0.0000 0.0000 0.0000  4 N 2.19
Rh1 0.5000 0.5000 0.5000  4 I 3.10
N1 0.0000 0.5000 0.0000  2 Y 2.19
N2 0.5000 0.0000 0.0000  2 Y 2.19

=====

Record 5
A relaxed YRhI2N crystal. Source: the Alexandria database, functional PBE.

## Properties
**Energy relative to the elements, uncorrected**: 0.038 eV/atom
**SG**: P4/mmm

Lattice parameters (Å, degrees): 5.7184 5.7184 3.7368 90.00 90.00 90.00
With the nearest neighbours (Å) after each atom.
Sites, in units of the cell vectors:
I1 0.0000 0.5000 0.0000  2 Rh 2.86
I2 0.5000 0.0000 0.0000  2 Rh 2.86
Y1 0.5000 0.5000 0.5000  8 I 3.42, 2 Y 3.74
Rh1 0.0000 0.0000 0.0000  2 N 1.87
N1 0.0000 0.0000 0.5000  2 Rh 1.87

=====

Record 6
A relaxed YRhIN2 crystal. Source: the Alexandria database, functional PBE.

## Properties
**Energy relative to the elements, uncorrected**: 0.767 eV/atom
**SG**: P4/mmm

Lattice parameters (Å, degrees): 4.1704 4.1704 5.1591 90.00 90.00 90.00
With the nearest neighbours (Å) after each atom.
Sites, in units of the cell vectors:
I1 0.0000 0.0000 0.5000  2 Rh 2.58
Y1 0.5000 0.5000 0.5000  4 I 2.95
Rh1 0.0000 0.0000 0.0000  4 N 2.09
N1 0.0000 0.5000 0.0000  2 Rh 2.09
N2 0.5000 0.0000 0.0000  2 Rh 2.09

=====

Record 7
A relaxed ZnRhI2N crystal. Source: the Alexandria database, functional PBE.

## Properties
**Energy relative to the elements, uncorrected**: 0.424 eV/atom
**SG**: P4/mmm

Lattice parameters (Å, degrees): 5.6651 5.6651 3.7169 90.00 90.00 90.00
With the nearest neighbours (Å) after each atom.
Sites, in units of the cell vectors:
I1 0.0000 0.5000 0.0000  2 Rh 2.83
I2 0.5000 0.0000 0.0000  2 Rh 2.83
Zn1 0.5000 0.5000 0.5000  8 I 3.39, 2 Zn 3.72
Rh1 0.0000 0.0000 0.0000  2 N 1.86
N1 0.0000 0.0000 0.5000  2 Rh 1.86

=====

Record 8
A relaxed ZnRhI2N crystal. Source: the Alexandria database, functional PBE.

## Properties
**Energy relative to the elements, uncorrected**: 1.050 eV/atom
**SG**: P4/mmm

Lattice parameters (Å, degrees): 5.7039 5.7039 3.7352 90.00 90.00 90.00
With the nearest neighbours (Å) after each atom.
Sites, in units of the cell vectors:
I1 0.0000 0.5000 0.0000  2 Zn 2.85
I2 0.5000 0.0000 0.0000  2 Zn 2.85
Zn1 0.0000 0.0000 0.0000  2 N 1.87
Rh1 0.5000 0.5000 0.5000  8 I 3.41, 2 Rh 3.74
N1 0.0000 0.0000 0.5000  2 Zn 1.87

=====

Record 9
A relaxed ZrRhIN2 crystal. Source: the Alexandria database, functional PBE.

## Properties
**Energy relative to the elements, uncorrected**: 1.200 eV/atom
**SG**: P4/mmm

Lattice parameters (Å, degrees): 4.0566 4.0566 5.2014 90.00 90.00 90.00
With the nearest neighbours (Å) after each atom.
Sites, in units of the cell vectors:
I1 0.0000 0.0000 0.5000  2 Rh 2.60, 4 Zr 2.87
Rh1 0.0000 0.0000 0.0000  4 N 2.03
Zr1 0.5000 0.5000 0.5000  4 I 2.87
N1 0.0000 0.5000 0.0000  2 Rh 2.03
N2 0.5000 0.0000 0.0000  2 Rh 2.03

=====

Record 10
A relaxed ZrRhIN2 crystal. Source: the Alexandria database, functional PBE.

## Properties
**Energy relative to the elements, uncorrected**: 0.754 eV/atom
**SG**: P4/mmm

Lattice parameters (Å, degrees): 4.1028 4.1028 6.2857 90.00 90.00 90.00
With the nearest neighbours (Å) after each atom.
Sites, in units of the cell vectors:
I1 0.0000 0.0000 0.5000  4 Rh 2.90, 2 Zr 3.14
Rh1 0.5000 0.5000 0.5000  4 I 2.90
Zr1 0.0000 0.0000 0.0000  4 N 2.05
N1 0.0000 0.5000 0.0000  2 Zr 2.05
N2 0.5000 0.0000 0.0000  2 Zr 2.05

=====

Record 11
A relaxed RuI2N2 crystal. Source: the Alexandria database, functional PBE.

## Properties
**Energy relative to the elements, uncorrected**: 1.292 eV/atom
**SG**: P4/mmm

Lattice parameters (Å, degrees): 4.0550 4.0550 5.9818 90.00 90.00 90.00
With the nearest neighbours (Å) after each atom.
Sites, in units of the cell vectors:
I1 0.5000 0.5000 0.5000  4 I 2.87
I2 0.0000 0.0000 0.5000  4 I 2.87, 2 Ru 2.99
Ru1 0.0000 0.0000 0.0000  4 N 2.03
N1 0.0000 0.5000 0.0000  2 Ru 2.03
N2 0.5000 0.0000 0.0000  2 Ru 2.03

=====

Record 12
A relaxed Ru2IN crystal. Source: the Alexandria database, functional PBE.

## Properties
**Energy relative to the elements, uncorrected**: 0.533 eV/atom
**SG**: I-42d

Lattice parameters (Å, degrees): 5.1127 5.1127 6.4827 66.78 66.78 90.00
With the nearest neighbours (Å) after each atom.
Sites, in units of the cell vectors:
I1 0.0000 0.0000 0.0000  4 Ru 2.64
I2 0.7500 0.2500 0.5000  4 Ru 2.64
Ru1 0.5073 0.1250 0.2500  2 N 1.98
Ru2 0.2427 0.6250 0.2500  2 N 1.98
Ru3 0.3750 0.4927 0.7500  2 N 1.98
Ru4 0.8750 0.7573 0.7500  2 N 1.98
N1 0.5000 0.5000 0.0000  4 Ru 1.98
N2 0.2500 0.7500 0.5000  4 Ru 1.98

=====

> Which of these has the highest energy relative to the elements, uncorrected?

number 2